(1)
Below is a relaxed PuPb2Cl3O3 crystal, with properties calculated at the PBE level.

Results
- V: 179 Å³ per cell
- E_form (uncorrected): -12.4 eV/f.u.
- Spin magnetization: 2.82 μB per formula unit

abc: 7.824 7.824 3.382
angles: 90.00 90.00 120.00
Atoms (fractional coordinates):
Pu 0.000 0.000 0.000
Pb 0.333 0.667 0.500
Pb 0.667 0.333 0.500
Cl 0.000 0.420 0.000
Cl 0.420 0.000 0.000
Cl 0.580 0.580 0.000
O 0.000 0.810 0.500
O 0.190 0.190 0.500
O 0.810 0.000 0.500

(2)
Below is a relaxed PuPbClO2 crystal, with properties calculated at the PBE level.

Results
- V: 217 Å³ per cell
- E_form (uncorrected): -10.2 eV/f.u.
- Spin magnetization: 5.00 μB per formula unit

abc: 6.904 3.968 8.429
angles: 90.00 109.71 90.00
Atoms (fractional coordinates):
Pu 0.168 0.250 0.427
Pu 0.832 0.750 0.573
Pb 0.187 0.250 0.935
Pb 0.813 0.750 0.065
Cl 0.455 0.750 0.667
Cl 0.545 0.250 0.333
O 0.002 0.250 0.619
O 0.014 0.250 0.133
O 0.986 0.750 0.867
O 0.998 0.750 0.381

(3)
Below is a relaxed RbPbCl2O crystal, with properties calculated at the PBE level.

Results
- V: 141 Å³ per cell
- E_form (uncorrected): -6.2 eV/f.u.
- Spin magnetization: 0.00 μB per formula unit

abc: 5.754 5.754 4.266
angles: 90.00 90.00 90.00
Atoms (fractional coordinates):
Rb 0.000 0.000 0.000
Pb 0.500 0.500 0.500
Cl 0.000 0.500 0.500
Cl 0.500 0.000 0.500
O 0.500 0.500 0.000

(4)
Below is a relaxed RePb2ClO4 crystal, with properties calculated at the PBE level.

Results
- V: 148 Å³ per cell
- E_form (uncorrected): -9.4 eV/f.u.
- Spin magnetization: 0.00 μB per formula unit

abc: 5.328 5.328 9.081
angles: 111.10 111.10 38.30
Atoms (fractional coordinates):
Re 0.000 0.000 0.000
Pb 0.176 0.176 0.775
Pb 0.824 0.824 0.225
Cl 0.500 0.500 0.500
O 0.138 0.138 0.203
O 0.399 0.399 0.044
O 0.601 0.601 0.956
O 0.862 0.862 0.797

> Number 2 is which compound?

PuPbClO2

> Which formula does entry 4 have?

RePb2ClO4